# VRuNF2 PBE with a Hubbard U relaxed
# Distance to the lowest polymorph of the same formula, meV per atom: 0
# Spin magnetization, μB per cell: 4.81
data_VRuNF2
_space_group_name_H-M_alt 'P 4/m m m'
_space_group_IT_number 123
_space_group_name_Hall '-P 4 2'
_cell_length_a 3.998
_cell_length_b 3.998
_cell_length_c 3.933
_cell_angle_alpha 90.00
_cell_angle_beta 90.00
_cell_angle_gamma 90.00
loop_
_atom_site_label
_atom_site_fract_x
_atom_site_fract_y
_atom_site_fract_z
_atom_site_occupancy
V1 0.000 0.000 0.000 1
Ru1 0.500 0.500 0.500 1
N1 0.000 0.000 0.500 1
F1 0.000 0.500 0.000 1